This record from Alexandria describes crystalline AlTlCoF6 at its relaxed geometry. The functional is PBE with a Hubbard U.

Lattice parameters (Å, degrees): 7.243 7.146 7.212 119.70 120.14 90.00
Last column: magnetic moment on the atom in μB.
Positions (direct):
Co1 0.500 0.000 0.500  2.79
Co2 0.000 0.000 0.500  2.79
Tl1 0.112 0.362 0.224  0.00
Tl2 0.888 0.638 0.776  0.00
F1 0.200 0.916 0.757  0.02
F2 0.800 0.084 0.243  0.02
F3 0.160 0.910 0.320  0.06
F4 0.557 0.916 0.757  0.02
F5 0.544 0.294 0.087  0.00
F6 0.456 0.706 0.913  0.00
F7 0.443 0.659 0.243  0.02
F8 0.840 0.090 0.680  0.06
F9 0.800 0.659 0.243  0.02
F10 0.200 0.341 0.757  0.02
F11 0.557 0.341 0.757  0.02
F12 0.443 0.084 0.243  0.02
Al1 0.500 0.500 0.000  0.00
Al2 0.500 0.000 0.000  0.00

- Fermi-level density of states: 0.0000 states/eV per atom
- Density: 5.07 g/cm³
- Total DFT energy (no corrections): -5.220 eV per atom